Entry 1:
Density functional theory data (GGA-PBE) for a relaxed structure of K2Cu2Si.

Unit cell a=4.1769 b=4.1769 c=10.3576 alpha=78.37 beta=78.37 gamma=60.00
With the nearest neighbours (Å) after each atom.
Atoms (fractional coordinates):
K1 0.4285 0.4285 0.7144  1 Cu 3.13
K2 0.5715 0.5715 0.2856  1 Cu 3.13
Si1 0.0000 0.0000 0.0000  6 Cu 2.42
Cu1 0.3251 0.3251 0.0248  3 Si 2.42, 3 Cu 2.46
Cu2 0.6749 0.6749 0.9752  3 Si 2.42, 3 Cu 2.46

Results
**DOS(E_F)**: 2.03 states/eV per cell
**Energy relative to the lowest polymorph listed for this composition**: 0 meV/atom
**Uncorrected energy**: -3.19 eV per atom
**ρ**: 2.55 Mg/m³
**Formation energy (no corrections)**: -31 meV per atom

***

Entry 2:
Density functional theory data (GGA-PBE) for a relaxed structure of KCu2Si2.

Unit cell a=4.2057 b=4.2057 c=6.5049 alpha=71.14 beta=71.14 gamma=90.00
With the nearest neighbours (Å) after each atom.
Atoms (fractional coordinates):
Cu1 0.6552 0.6552 0.6895  4 Si 2.37
Cu2 0.3448 0.3448 0.3105  4 Si 2.37
K1 0.0000 0.0000 0.0000  8 Cu 3.47, 8 Si 3.58
Si1 0.7500 0.2500 0.5000  4 Cu 2.37
Si2 0.2500 0.7500 0.5000  4 Cu 2.37

Results
**DOS(E_F)**: 1.78 states/eV per cell
**Energy relative to the lowest polymorph listed for this composition**: 76 meV/atom
**Uncorrected energy**: -3.87 eV per atom
**ρ**: 3.61 Mg/m³
**Formation energy (no corrections)**: 157 meV per atom

***

Entry 3:
Density functional theory data (GGA-PBE) for a relaxed structure of K2Cu2Si.

Unit cell a=6.6182 b=6.6182 c=5.6344 alpha=90.00 beta=90.00 gamma=90.00
With the nearest neighbours (Å) after each atom.
Atoms (fractional coordinates):
K1 0.1667 0.6667 0.5000  2 Cu 3.04, 1 K 3.12
K2 0.3333 0.1667 0.5000  2 Cu 3.04, 1 K 3.12
K3 0.6667 0.8333 0.5000  2 Cu 3.04, 1 K 3.12
K4 0.8333 0.3333 0.5000  2 Cu 3.04, 1 K 3.12
Cu1 0.7876 0.7124 0.0000  2 Si 2.37
Cu2 0.2124 0.2876 0.0000  2 Si 2.37
Cu3 0.2876 0.7876 0.0000  2 Si 2.37
Cu4 0.7124 0.2124 0.0000  2 Si 2.37
Si1 0.0000 0.0000 0.0000  4 Cu 2.37
Si2 0.5000 0.5000 0.0000  4 Cu 2.37

Results
**DOS(E_F)**: 1.42 states/eV per cell
**Energy relative to the lowest polymorph listed for this composition**: 295 meV/atom
**Uncorrected energy**: -2.90 eV per atom
**ρ**: 3.14 Mg/m³
**Formation energy (no corrections)**: 263 meV per atom

***

Entry 4:
Density functional theory data (GGA-PBE) for a relaxed structure of KCu2Si.

Unit cell a=4.0239 b=2.9004 c=6.9320 alpha=80.85 beta=90.00 gamma=90.00
With the nearest neighbours (Å) after each atom.
Atoms (fractional coordinates):
Cu1 0.0000 0.5435 0.6006  2 Si 2.38, 2 Cu 2.46-2.55
Cu2 0.0000 0.9565 0.8994  2 Si 2.38, 2 Cu 2.46-2.55
Si1 0.5000 0.7500 0.7500  4 Cu 2.38
K1 0.5000 0.2500 0.2500  2 K 2.90

Results
**DOS(E_F)**: 1.30 states/eV per cell
**Uncorrected energy**: -3.37 eV per atom
**ρ**: 4.04 Mg/m³
**Formation energy (no corrections)**: 305 meV per atom

***

Entry 5:
Density functional theory data (GGA-PBE) for a relaxed structure of K2CuSi.

Unit cell a=5.2417 b=5.2417 c=5.2417 alpha=119.91 beta=119.91 gamma=90.15
With the nearest neighbours (Å) after each atom.
Atoms (fractional coordinates):
K1 0.2500 0.7500 0.5000  4 K 3.21, 4 Si 3.21
K2 0.0000 0.0000 0.0000  4 Cu 3.21, 4 K 3.21
Cu1 0.7500 0.2500 0.5000  4 K 3.21, 4 Si 3.21
Si1 0.5000 0.5000 0.0000  4 K 3.21, 4 Cu 3.21

Results
**DOS(E_F)**: 4.16 states/eV per cell
**Uncorrected energy**: -2.39 eV per atom
**ρ**: 2.77 Mg/m³
**Formation energy (no corrections)**: 540 meV per atom

***

Entry 6:
Density functional theory data (GGA-PBE) for a relaxed structure of KCuSi2.

Unit cell a=3.9665 b=3.9665 c=6.9522 alpha=73.46 beta=73.46 gamma=60.03
With the nearest neighbours (Å) after each atom.
Atoms (fractional coordinates):
K1 0.2500 0.2500 0.2500  6 Si 3.43
Si1 0.4534 0.4534 0.6394  3 Cu 2.40
Si2 0.0466 0.0466 0.8606  3 Cu 2.40
Cu1 0.7500 0.7500 0.7500  6 Si 2.40

Results
**DOS(E_F)**: 0.79 states/eV per cell
**Energy relative to the lowest polymorph listed for this composition**: 0 meV/atom
**Uncorrected energy**: -3.99 eV per atom
**ρ**: 2.95 Mg/m³
**Formation energy (no corrections)**: 23 meV per atom

***

| no. | total magnetization (μB per atom) |
| --- | --- |
| 1 | 0.00 |
| 2 | 0.00 |
| 3 | 0.00 |
| 4 | 0.00 |
| 5 | 0.17 |
| 6 | 0.00 |